First-principles (GGA-PBE) data for crystalline SmAlC at its relaxed geometry, as listed in Alexandria.

Calculated values
Its energy relative to the lowest polymorph listed for this composition is 16.0 kJ/mol of atoms. For the density, the calculation gives 5.07 Mg/m³. The energy of formation from the pure elements is 0.01 eV/atom. Its magnetization is 0.00 μB/f.u. Its raw total energy is -17.646 eV per formula unit.

a = 3.760 Å, b = 3.760 Å, c = 17.541 Å
α = 90.00°, β = 90.00°, γ = 90.00°
Space group I4/mmm (No. 139)
Asymmetric unit:
Sm 0.000 0.000 0.180 [4 per cell]
Al 0.000 0.000 0.430 [4 per cell]
C 0.000 0.000 0.321 [4 per cell]

***

First-principles (GGA-PBE) data for crystalline Tb2SmAlC at its relaxed geometry, as listed in Alexandria.

Calculated values
For the density, the calculation gives 6.95 Mg/m³. The energy of formation from the pure elements is -0.32 eV/atom. Its magnetization is 0.00 μB/f.u. Its raw total energy is -28.566 eV per formula unit.

a = 4.917 Å, b = 4.917 Å, c = 5.015 Å
α = 90.00°, β = 90.00°, γ = 90.00°
Space group P4/mmm (No. 123)
Asymmetric unit:
Tb 0.000 0.500 0.000 [2 per cell]
Sm 0.000 0.000 0.500 [1 per cell]
Al 0.500 0.500 0.500 [1 per cell]
C 0.000 0.000 0.000 [1 per cell]

***

First-principles (GGA-PBE) data for crystalline SmAl2Tc2C at its relaxed geometry, as listed in Alexandria.

Calculated values
For the density, the calculation gives 7.00 Mg/m³. The energy of formation from the pure elements is -0.38 eV/atom. Its magnetization is 0.00 μB/f.u. Its raw total energy is -44.412 eV per formula unit.

a = 4.186 Å, b = 4.186 Å, c = 5.583 Å
α = 90.00°, β = 90.00°, γ = 90.00°
Space group P4/mmm (No. 123)
Asymmetric unit:
Sm 0.000 0.000 0.000 [1 per cell]
Al 0.500 0.500 0.232 [2 per cell]
Tc 0.000 0.500 0.500 [2 per cell]
C 0.000 0.000 0.500 [1 per cell]

***

First-principles (GGA-PBE) data for crystalline Sm3Al2Tc3C at its relaxed geometry, as listed in Alexandria.

Calculated values
For the density, the calculation gives 7.97 Mg/m³. The energy of formation from the pure elements is 0.11 eV/atom. Its magnetization is 0.00 μB/f.u. Its raw total energy is -60.991 eV per formula unit.

a = 7.4937 Å, b = 7.4937 Å, c = 3.4756 Å
α = 90.00°, β = 90.00°, γ = 120.00°
Space group P-62m (No. 189)
Asymmetric unit:
Sm 0.0000 0.3564 0.0000 [3 per cell]
Al 0.3333 0.6667 0.5000 [2 per cell]
Tc 0.0000 0.7802 0.5000 [3 per cell]
C 0.0000 0.0000 0.0000 [1 per cell]

***

First-principles (GGA-PBE) data for crystalline Sm2Al2Tc2C at its relaxed geometry, as listed in Alexandria.

Calculated values
For the density, the calculation gives 7.06 Mg/m³. The energy of formation from the pure elements is -0.39 eV/atom. Its magnetization is 0.00 μB/f.u. Its raw total energy is -49.600 eV per formula unit.

a = 11.456 Å, b = 3.695 Å, c = 7.665 Å
α = 90.00°, β = 125.35°, γ = 90.00°
Space group C2/m (No. 12)
Asymmetric unit:
Sm 0.072 0.000 0.284 [4 per cell]
Al 0.137 0.500 0.674 [4 per cell]
Tc 0.193 0.500 0.064 [4 per cell]
C 0.000 0.500 0.000 [2 per cell]

***

First-principles (GGA-PBE) data for crystalline Sm2TmAlC at its relaxed geometry, as listed in Alexandria.

Calculated values
For the density, the calculation gives 6.96 Mg/m³. The energy of formation from the pure elements is -0.31 eV/atom. Its magnetization is 0.00 μB/f.u. Its raw total energy is -28.436 eV per formula unit.

a = 5.028 Å, b = 5.028 Å, c = 4.802 Å
α = 90.00°, β = 90.00°, γ = 90.00°
Space group P4/mmm (No. 123)
Asymmetric unit:
Sm 0.000 0.500 0.000 [2 per cell]
Tm 0.000 0.000 0.500 [1 per cell]
Al 0.500 0.500 0.500 [1 per cell]
C 0.000 0.000 0.000 [1 per cell]

***

First-principles (GGA-PBE) data for crystalline Sm2YAlC at its relaxed geometry, as listed in Alexandria.

Calculated values
For the density, the calculation gives 5.76 Mg/m³. The energy of formation from the pure elements is -0.31 eV/atom. Its magnetization is 0.00 μB/f.u. Its raw total energy is -30.406 eV per formula unit.

a = 5.022 Å, b = 5.022 Å, c = 4.897 Å
α = 90.00°, β = 90.00°, γ = 90.00°
Space group P4/mmm (No. 123)
Asymmetric unit:
Sm 0.000 0.500 0.000 [2 per cell]
Y 0.000 0.000 0.500 [1 per cell]
Al 0.500 0.500 0.500 [1 per cell]
C 0.000 0.000 0.000 [1 per cell]

***

First-principles (GGA-PBE) data for crystalline SmY2AlC at its relaxed geometry, as listed in Alexandria.

Calculated values
For the density, the calculation gives 5.06 Mg/m³. The energy of formation from the pure elements is -0.36 eV/atom. Its magnetization is 0.00 μB/f.u. Its raw total energy is -32.426 eV per formula unit.

a = 4.898 Å, b = 4.898 Å, c = 5.026 Å
α = 90.00°, β = 90.00°, γ = 90.00°
Space group P4/mmm (No. 123)
Asymmetric unit:
Sm 0.000 0.000 0.000 [1 per cell]
Y 0.000 0.500 0.500 [2 per cell]
Al 0.500 0.500 0.000 [1 per cell]
C 0.000 0.000 0.500 [1 per cell]

***

First-principles (GGA-PBE) data for crystalline Al2SnC at its relaxed geometry, as listed in Alexandria.

Calculated values
For the density, the calculation gives 4.52 Mg/m³. The energy of formation from the pure elements is 1.32 eV/atom. Its magnetization is 0.00 μB/f.u. Its raw total energy is -15.450 eV per formula unit.

a = 6.476 Å, b = 6.476 Å, c = 6.476 Å
α = 90.00°, β = 90.00°, γ = 90.00°
Space group Fm-3m (No. 225)
Asymmetric unit:
Al 0.250 0.250 0.250 [8 per cell]
Sn 0.000 0.000 0.000 [4 per cell]
C 0.000 0.000 0.500 [4 per cell]

***

First-principles (GGA-PBE) data for crystalline Al2SnC at its relaxed geometry, as listed in Alexandria.

Calculated values
For the density, the calculation gives 4.67 Mg/m³. The energy of formation from the pure elements is 0.07 eV/atom. Its magnetization is 0.00 μB/f.u. Its raw total energy is -20.415 eV per formula unit.

a = 3.1874 Å, b = 3.1874 Å, c = 22.4057 Å
α = 90.00°, β = 90.00°, γ = 120.00°
Space group R-3m (No. 166, hexagonal axes)
Asymmetric unit:
Al 0.0000 0.0000 0.1210 [6 per cell]
Sn 0.0000 0.0000 0.0000 [3 per cell]
C 0.0000 0.0000 0.5000 [3 per cell]

***

First-principles (GGA-PBE) data for crystalline AlSn3C at its relaxed geometry, as listed in Alexandria.

Calculated values
Its energy relative to the lowest polymorph listed for this composition is 0.0 kJ/mol of atoms. For the density, the calculation gives 6.03 Mg/m³. The energy of formation from the pure elements is 0.87 eV/atom. Its magnetization is 0.00 μB/f.u. Its raw total energy is -20.600 eV per formula unit.

a = 4.773 Å, b = 4.773 Å, c = 4.773 Å
α = 90.00°, β = 90.00°, γ = 90.00°
Space group Pm-3m (No. 221)
Asymmetric unit:
Al 0.000 0.000 0.000 [1 per cell]
Sn 0.000 0.500 0.500 [3 per cell]
C 0.500 0.500 0.500 [1 per cell]

***

First-principles (GGA-PBE) data for crystalline AlSn3C at its relaxed geometry, as listed in Alexandria.

Calculated values
Its energy relative to the lowest polymorph listed for this composition is 77.5 kJ/mol of atoms. For the density, the calculation gives 4.54 Mg/m³. The energy of formation from the pure elements is 1.68 eV/atom. Its magnetization is 1.15 μB/f.u. Its raw total energy is -16.584 eV per formula unit.

a = 5.247 Å, b = 5.247 Å, c = 5.247 Å
α = 90.00°, β = 90.00°, γ = 90.00°
Space group Pm-3m (No. 221)
Asymmetric unit:
Al 0.000 0.000 0.000 [1 per cell]
Sn 0.000 0.000 0.500 [3 per cell]
C 0.500 0.500 0.500 [1 per cell]

***

First-principles (GGA-PBE) data for crystalline Al2SnC at its relaxed geometry, as listed in Alexandria.

Calculated values
For the density, the calculation gives 4.05 Mg/m³. The energy of formation from the pure elements is 0.26 eV/atom. Its magnetization is 0.00 μB/f.u. Its raw total energy is -19.679 eV per formula unit.

a = 5.703 Å, b = 5.703 Å, c = 9.312 Å
α = 90.00°, β = 90.00°, γ = 90.00°
Space group I-42d (No. 122)
Asymmetric unit:
Al 0.123 0.250 0.125 [8 per cell]
Sn 0.000 0.000 0.500 [4 per cell]
C 0.000 0.000 0.000 [4 per cell]

***

First-principles (GGA-PBE) data for crystalline Sr2AlSnC at its relaxed geometry, as listed in Alexandria.

Calculated values
For the density, the calculation gives 4.33 Mg/m³. The energy of formation from the pure elements is -0.14 eV/atom. Its magnetization is 0.00 μB/f.u. Its raw total energy is -21.037 eV per formula unit.

a = 5.783 Å, b = 5.783 Å, c = 3.817 Å
α = 90.00°, β = 90.00°, γ = 90.00°
Space group P4/mmm (No. 123)
Asymmetric unit:
Sr 0.000 0.500 0.000 [2 per cell]
Al 0.000 0.000 0.500 [1 per cell]
Sn 0.500 0.500 0.500 [1 per cell]
C 0.000 0.000 0.000 [1 per cell]

***

First-principles (GGA-PBE) data for crystalline Y2AlSnC at its relaxed geometry, as listed in Alexandria.

Calculated values
For the density, the calculation gives 5.43 Mg/m³. The energy of formation from the pure elements is -0.47 eV/atom. Its magnetization is 0.00 μB/f.u. Its raw total energy is -32.269 eV per formula unit.

a = 5.014 Å, b = 5.014 Å, c = 4.082 Å
α = 90.00°, β = 90.00°, γ = 90.00°
Space group P4/mmm (No. 123)
Asymmetric unit:
Y 0.000 0.500 0.000 [2 per cell]
Al 0.000 0.000 0.500 [1 per cell]
Sn 0.500 0.500 0.500 [1 per cell]
C 0.000 0.000 0.000 [1 per cell]

***

First-principles (GGA-PBE) data for crystalline ZrAl2SnC at its relaxed geometry, as listed in Alexandria.

Calculated values
For the density, the calculation gives 5.14 Mg/m³. The energy of formation from the pure elements is 0.40 eV/atom. Its magnetization is 0.00 μB/f.u. Its raw total energy is -27.276 eV per formula unit.

a = 4.053 Å, b = 4.053 Å, c = 5.426 Å
α = 90.00°, β = 90.00°, γ = 90.00°
Space group P4/mmm (No. 123)
Asymmetric unit:
Zr 0.000 0.000 0.000 [1 per cell]
Al 0.000 0.500 0.500 [2 per cell]
Sn 0.500 0.500 0.000 [1 per cell]
C 0.500 0.500 0.500 [1 per cell]

***

First-principles (GGA-PBE) data for crystalline SrAlC3 at its relaxed geometry, as listed in Alexandria.

Calculated values
Its energy relative to the lowest polymorph listed for this composition is 0.0 kJ/mol of atoms. For the density, the calculation gives 3.69 Mg/m³. The energy of formation from the pure elements is 1.48 eV/atom. Its magnetization is 0.00 μB/f.u. Its raw total energy is -25.690 eV per formula unit.

a = 4.076 Å, b = 4.076 Å, c = 4.076 Å
α = 90.00°, β = 90.00°, γ = 90.00°
Space group Pm-3m (No. 221)
Asymmetric unit:
Sr 0.000 0.000 0.000 [1 per cell]
Al 0.500 0.500 0.500 [1 per cell]
C 0.000 0.500 0.500 [3 per cell]

***

First-principles (GGA-PBE) data for crystalline SrAlC at its relaxed geometry, as listed in Alexandria.

Calculated values
For the density, the calculation gives 3.45 Mg/m³. The energy of formation from the pure elements is 0.02 eV/atom. Its magnetization is 0.00 μB/f.u. Its raw total energy is -14.589 eV per formula unit.

a = 3.626 Å, b = 18.410 Å, c = 3.649 Å
α = 90.00°, β = 90.00°, γ = 90.00°
Space group Cmcm (No. 63)
Asymmetric unit:
Sr 0.000 0.100 0.250 [4 per cell]
Al 0.000 0.250 0.750 [4 per cell]
C 0.000 0.303 0.250 [4 per cell]

***

First-principles (GGA-PBE) data for crystalline SrAlC3 at its relaxed geometry, as listed in Alexandria.

Calculated values
Its energy relative to the lowest polymorph listed for this composition is 195.0 kJ/mol of atoms. For the density, the calculation gives 2.52 Mg/m³. The energy of formation from the pure elements is 3.50 eV/atom. Its magnetization is 1.15 μB/f.u. Its raw total energy is -15.583 eV per formula unit.

a = 4.633 Å, b = 4.633 Å, c = 4.633 Å
α = 90.00°, β = 90.00°, γ = 90.00°
Space group Pm-3m (No. 221)
Asymmetric unit:
Sr 0.000 0.000 0.000 [1 per cell]
Al 0.500 0.500 0.500 [1 per cell]
C 0.000 0.000 0.500 [3 per cell]

***

First-principles (GGA-PBE) data for crystalline Sr2TaAlC at its relaxed geometry, as listed in Alexandria.

Calculated values
For the density, the calculation gives 3.57 Mg/m³. The energy of formation from the pure elements is 2.05 eV/atom. Its magnetization is 4.81 μB/f.u. Its raw total energy is -17.936 eV per formula unit.

a = 6.060 Å, b = 6.060 Å, c = 5.002 Å
α = 90.00°, β = 90.00°, γ = 90.00°
Space group P4/mmm (No. 123)
Asymmetric unit:
Sr 0.000 0.500 0.000 [2 per cell]
Ta 0.000 0.000 0.000 [1 per cell]
Al 0.000 0.000 0.500 [1 per cell]
C 0.500 0.500 0.500 [1 per cell]